Run A
Compound: BaCaBe2
Source: Alexandria
Functional: PBE
Structure: relaxed

## Properties
DOS(E_F) = 4.13 states/eV/f.u.

```
BaCaBe2
1.0
3.547 -2.045 0.000
3.547 2.045 0.000
-2.326 0.000 7.946
Ba Ca Be
1 1 2
direct
0.000 0.000 0.000
0.170 0.170 0.515
0.429 0.429 0.289
0.762 0.762 0.288
```



Run B
Compound: BaCaBe2
Source: Alexandria
Functional: PBE
Structure: relaxed

## Properties
DOS(E_F) = 4.04 states/eV/f.u.

```
BaCaBe2
1.0
5.171 -2.048 0.000
5.171 2.048 0.000
-4.671 0.000 6.024
Ba Ca Be
1 1 2
direct
0.000 0.000 0.000
0.500 0.500 0.500
0.243 0.243 0.535
0.757 0.757 0.465
```



Run C
Compound: BaCaBe2
Source: Alexandria
Functional: PBE
Structure: relaxed

## Properties
DOS(E_F) = 2.83 states/eV/f.u.

```
BaCaBe2
1.0
0.000 3.752 3.752
3.752 0.000 3.752
3.752 3.752 0.000
Ba Ca Be
1 1 2
direct
0.000 0.000 0.000
0.500 0.500 0.500
0.250 0.250 0.250
0.750 0.750 0.750
```



Run D
Compound: BaCaBe2
Source: Alexandria
Functional: PBE
Structure: relaxed

## Properties
DOS(E_F) = 5.01 states/eV/f.u.

```
BaCaBe2
1.0
-2.412 2.412 10.118
2.412 -2.412 10.118
2.412 2.412 -10.118
Ba Ca Be
2 2 4
direct
0.375 0.625 0.750
0.625 0.375 0.250
0.125 0.875 0.250
0.875 0.125 0.750
0.000 0.000 0.000
0.000 0.000 0.500
0.000 0.500 0.000
0.500 0.000 0.500
```



Relative energies with respect to the most stable structure, expressed in meV/atom: run A 0; run B 62; run C 257; run D 469.



Run A
Compound: BaCaBe
Source: Alexandria
Functional: PBE
Structure: relaxed

## Properties
DOS(E_F) = 4.75 states/eV/f.u.

```
BaCaBe
1.0
5.180 0.000 0.000
-2.590 4.486 0.000
0.000 0.000 4.642
Ba Ca Be
1 1 1
direct
0.000 0.000 0.000
0.333 0.667 0.501
0.667 0.333 0.456
```



Run B
Compound: BaCaBe
Source: Alexandria
Functional: PBE
Structure: relaxed

## Properties
DOS(E_F) = 4.14 states/eV/f.u.

```
BaCaBe
1.0
-1.910 1.910 6.926
1.910 -1.910 6.926
1.910 1.910 -6.926
Ba Ca Be
1 1 1
direct
0.000 0.000 0.000
0.255 0.255 0.000
0.649 0.649 0.000
```



Relative energies with respect to the most stable structure, expressed in meV/atom: run A 178; run B 0.